No. 1
Computed, not measured: a relaxed La3Tb2ThSb6 crystal at the PBE level of DFT.

Geometry as POSCAR:
```
La3Tb2ThSb6
1.0
3.9213 -6.7876 0.0000
3.9213 6.7876 0.0000
-2.6164 0.0000 7.4187
La Tb Th Sb
3 2 1 6
Cartesian
0.0000 0.0000 0.0000
3.9213 2.2498 0.0000
3.9213 -2.2498 0.0000
2.6131 4.5222 3.7094
2.6131 -4.5222 3.7094
2.6131 0.0000 3.7094
1.2958 2.2810 1.9291
-0.0240 0.0000 5.4784
1.2958 -2.2810 1.9291
3.9304 2.2810 5.4896
5.2502 0.0000 1.9403
3.9304 -2.2810 5.4896
```

Properties
Raw formation energy: -14.2 eV/f.u.
Space-group type: C2/m
Energy: -70.435 eV for the cell shown



No. 2
Computed, not measured: a relaxed LaTb2TmSb4 crystal at the PBE level of DFT.

Geometry as POSCAR:
```
LaTb2TmSb4
1.0
0.0000 6.2796 4.4491
4.4485 0.0000 4.4491
4.4485 6.2796 0.0000
La Tb Tm Sb
1 2 1 4
Cartesian
0.0000 0.0000 0.0000
2.2242 3.1398 2.2314
6.6727 9.4195 6.6805
4.4485 6.2796 4.4562
6.6686 6.2796 2.2287
4.4485 3.2178 4.4564
2.2283 6.2796 2.2287
4.4485 9.3415 4.4564
```

Properties
Raw formation energy: -9.1 eV/f.u.
Space-group type: Fmm2
Energy: -44.295 eV for the cell shown



No. 3
Computed, not measured: a relaxed La3TbTm2Sb6 crystal at the PBE level of DFT.

Geometry as POSCAR:
```
La3TbTm2Sb6
1.0
3.8988 -6.7515 0.0000
3.8988 6.7515 0.0000
-2.5975 0.0000 7.3127
La Tb Tm Sb
3 1 2 6
Cartesian
0.0000 0.0000 0.0000
3.8988 2.2393 0.0000
3.8988 -2.2393 0.0000
2.6001 0.0000 3.6563
2.6001 4.4976 3.6563
2.6001 -4.4976 3.6563
1.2905 2.2665 1.9381
-0.0181 0.0000 5.3684
1.2905 -2.2665 1.9381
3.9096 2.2665 5.3746
5.2182 0.0000 1.9443
3.9096 -2.2665 5.3746
```

Properties
Raw formation energy: -14.2 eV/f.u.
Space-group type: C2/m
Energy: -67.241 eV for the cell shown



No. 4
Computed, not measured: a relaxed La3Tb2TmSb6 crystal at the PBE level of DFT.

Geometry as POSCAR:
```
La3Tb2TmSb6
1.0
3.9065 -6.7650 0.0000
3.9065 6.7650 0.0000
-2.6027 0.0000 7.3360
La Tb Tm Sb
3 2 1 6
Cartesian
0.0000 0.0000 0.0000
3.9065 2.2670 0.0000
3.9065 -2.2670 0.0000
2.6052 4.5152 3.6680
2.6052 -4.5152 3.6680
2.6052 0.0000 3.6680
1.3127 2.2395 1.9378
0.0209 0.0000 5.4066
1.3127 -2.2395 1.9378
3.8977 2.2395 5.3982
5.1894 0.0000 1.9295
3.8977 -2.2395 5.3982
```

Properties
Raw formation energy: -14.3 eV/f.u.
Space-group type: C2/m
Energy: -67.573 eV for the cell shown



No. 5
Computed, not measured: a relaxed La3TbY2Sb6 crystal at the PBE level of DFT.

Geometry as POSCAR:
```
La3TbY2Sb6
1.0
3.9119 -6.7742 0.0000
3.9119 6.7742 0.0000
-2.6056 0.0000 7.3469
La Tb Y Sb
3 1 2 6
Cartesian
0.0000 0.0000 0.0000
3.9119 2.2566 0.0000
3.9119 -2.2566 0.0000
2.6091 0.0000 3.6734
2.6091 4.5167 3.6734
2.6091 -4.5167 3.6734
1.3037 2.2603 1.9291
-0.0003 0.0000 5.4174
1.3037 -2.2603 1.9291
3.9146 2.2603 5.4178
5.2185 0.0000 1.9295
3.9146 -2.2603 5.4178
```

Properties
Raw formation energy: -14.6 eV/f.u.
Space-group type: C2/m
Energy: -71.657 eV for the cell shown



No. 6
Computed, not measured: a relaxed LaTc2Sb crystal at the PBE level of DFT.

Geometry as POSCAR:
```
LaTc2Sb
1.0
4.6905 0.0000 0.0000
0.0000 4.6905 0.0000
0.0000 0.0000 3.5467
La Tc Sb
1 2 1
Cartesian
0.0000 0.0000 0.0000
0.0000 2.3452 1.7734
2.3452 0.0000 1.7734
2.3452 2.3452 0.0000
```

Properties
Raw formation energy: 0.6 eV/f.u.
Space-group type: P4/mmm
Energy: -29.170 eV for the cell shown



No. 7
Computed, not measured: a relaxed LaTcSb crystal at the PBE level of DFT.

Geometry as POSCAR:
```
LaTcSb
1.0
4.6410 0.0000 0.0000
-2.3205 4.0192 0.0000
0.0000 0.0000 4.0324
La Tc Sb
1 1 1
Cartesian
0.0000 0.0000 0.0000
0.0000 2.6795 2.0162
2.3205 1.3397 2.0162
```

Properties
Energy above the most stable polymorph in this dataset: 0.000 eV per atom
Raw formation energy: -0.8 eV/f.u.
Space-group type: P-6m2
Energy: -20.212 eV for the cell shown



No. 8
Computed, not measured: a relaxed LaTc2Sb crystal at the PBE level of DFT.

Geometry as POSCAR:
```
LaTc2Sb
1.0
4.1405 -2.2715 0.0000
4.1405 2.2715 0.0000
-2.6825 0.0000 5.2337
La Tc Sb
1 2 1
Cartesian
0.0000 0.0000 0.0000
0.1173 0.0000 2.8298
5.4811 0.0000 2.4039
2.7992 0.0000 2.6169
```

Properties
Raw formation energy: -0.1 eV/f.u.
Space-group type: C2/m
Energy: -29.861 eV for the cell shown



No. 9
Computed, not measured: a relaxed La3TcSb crystal at the PBE level of DFT.

Geometry as POSCAR:
```
La3TcSb
1.0
5.4206 0.0000 0.0000
0.0000 5.4206 0.0000
0.0000 0.0000 5.4206
La Tc Sb
3 1 1
Cartesian
0.0000 0.0000 2.7103
0.0000 2.7103 0.0000
2.7103 0.0000 0.0000
0.0000 0.0000 0.0000
2.7103 2.7103 2.7103
```

Properties
Energy above the most stable polymorph in this dataset: 0.000 eV per atom
Raw formation energy: -2.0 eV/f.u.
Space-group type: Pm-3m
Energy: -31.313 eV for the cell shown



No. 10
Computed, not measured: a relaxed LaTc2Sb2 crystal at the PBE level of DFT.

Geometry as POSCAR:
```
LaTc2Sb2
1.0
-2.4471 2.4471 4.7541
2.4471 -2.4471 4.7541
2.4471 2.4471 -4.7541
La Tc Sb
1 2 2
Cartesian
0.0000 0.0000 0.0000
0.0000 0.0000 3.6169
0.0000 0.0000 5.8913
2.4471 0.0000 2.3771
0.0000 2.4471 2.3771
```

Properties
Energy above the most stable polymorph in this dataset: 0.000 eV per atom
Raw formation energy: -1.6 eV/f.u.
Space-group type: I4/mmm
Energy: -35.481 eV for the cell shown



No. 11
Computed, not measured: a relaxed LaTc4Sb12 crystal at the PBE level of DFT.

Geometry as POSCAR:
```
LaTc4Sb12
1.0
-4.7507 4.7507 4.7507
4.7507 -4.7507 4.7507
4.7507 4.7507 -4.7507
La Tc Sb
1 4 12
Cartesian
0.0000 0.0000 0.0000
2.3753 2.3753 -2.3753
2.3753 -2.3753 2.3753
-2.3753 2.3753 2.3753
2.3753 2.3753 2.3753
3.2041 0.0000 1.5058
6.2973 0.0000 1.5058
4.7507 3.2449 -1.5466
1.5058 3.2041 0.0000
3.2449 -1.5466 4.7507
0.0000 1.5058 3.2041
4.7507 3.2449 1.5466
1.5058 6.2973 0.0000
3.2449 1.5466 4.7507
0.0000 1.5058 6.2973
-1.5466 4.7507 3.2449
1.5466 4.7507 3.2449
```

Properties
Raw formation energy: -2.4 eV/f.u.
Space-group type: Im-3
Energy: -98.223 eV for the cell shown



No. 12
Computed, not measured: a relaxed LaTcSb crystal at the PBE level of DFT.

Geometry as POSCAR:
```
LaTcSb
1.0
-1.7203 1.7203 5.8939
1.7203 -1.7203 5.8939
1.7203 1.7203 -5.8939
La Tc Sb
1 1 1
Cartesian
0.0000 0.0000 0.0000
0.0000 0.0000 7.9420
0.0000 0.0000 3.3424
```

Properties
Energy above the most stable polymorph in this dataset: 0.005 eV per atom
Raw formation energy: -0.8 eV/f.u.
Space-group type: I4mm
Energy: -20.199 eV for the cell shown



No. 13
Computed, not measured: a relaxed LaTc2Sb crystal at the PBE level of DFT.

Geometry as POSCAR:
```
LaTc2Sb
1.0
3.4497 0.0000 0.0000
0.0000 3.4497 0.0000
0.0000 0.0000 6.7945
La Tc Sb
1 2 1
Cartesian
0.0000 0.0000 0.0000
1.7249 1.7249 1.9745
1.7249 1.7249 4.8200
0.0000 0.0000 3.3972
```

Properties
Raw formation energy: 1.0 eV/f.u.
Space-group type: P4/mmm
Energy: -28.822 eV for the cell shown



No. 14
Computed, not measured: a relaxed LaTc2Sb2 crystal at the PBE level of DFT.

Geometry as POSCAR:
```
LaTc2Sb2
1.0
-2.2949 2.2949 5.4427
2.2949 -2.2949 5.4427
2.2949 2.2949 -5.4427
La Tc Sb
1 2 2
Cartesian
0.0000 0.0000 0.0000
2.2949 0.0000 2.7214
0.0000 2.2949 2.7214
0.0000 0.0000 3.9626
0.0000 0.0000 6.9229
```

Properties
Energy above the most stable polymorph in this dataset: 0.014 eV per atom
Raw formation energy: -1.5 eV/f.u.
Space-group type: I4/mmm
Energy: -35.414 eV for the cell shown



No. 15
Computed, not measured: a relaxed LaTcSb crystal at the PBE level of DFT.

Geometry as POSCAR:
```
LaTcSb
1.0
0.0000 3.5469 3.5469
3.5469 0.0000 3.5469
3.5469 3.5469 0.0000
La Tc Sb
1 1 1
Cartesian
0.0000 0.0000 0.0000
1.7735 1.7735 1.7735
5.3204 5.3204 5.3204
```

Properties
Energy above the most stable polymorph in this dataset: 1.105 eV per atom
Raw formation energy: 2.5 eV/f.u.
Space-group type: F-43m
Energy: -16.897 eV for the cell shown



No. 16
Computed, not measured: a relaxed LaTc2Sb crystal at the PBE level of DFT.

Geometry as POSCAR:
```
LaTc2Sb
1.0
0.0000 3.4600 3.4600
3.4600 0.0000 3.4600
3.4600 3.4600 0.0000
La Tc Sb
1 2 1
Cartesian
0.0000 0.0000 0.0000
3.4600 3.4600 3.4600
5.1900 5.1900 5.1900
1.7300 1.7300 1.7300
```

Properties
Raw formation energy: 1.8 eV/f.u.
Space-group type: F-43m
Energy: -28.024 eV for the cell shown



No. 17
Computed, not measured: a relaxed LaTc2Sb crystal at the PBE level of DFT.

Geometry as POSCAR:
```
LaTc2Sb
1.0
3.2989 0.0000 0.0000
0.0000 4.7563 0.0000
-1.4368 0.0000 5.2081
La Tc Sb
1 2 1
Cartesian
0.0000 0.0000 0.0000
-0.0489 2.3782 3.5476
1.3524 0.0000 2.7718
1.6328 2.3782 1.3974
```

Properties
Raw formation energy: 0.3 eV/f.u.
Space-group type: Pm
Energy: -29.480 eV for the cell shown



No. 18
Computed, not measured: a relaxed LaTcSb crystal at the PBE level of DFT.

Geometry as POSCAR:
```
LaTcSb
1.0
0.0000 3.3643 3.3643
3.3643 0.0000 3.3643
3.3643 3.3643 0.0000
La Tc Sb
1 1 1
Cartesian
0.0000 0.0000 0.0000
5.0465 5.0465 5.0465
3.3643 3.3643 3.3643
```

Properties
Energy above the most stable polymorph in this dataset: 0.108 eV per atom
Raw formation energy: -0.5 eV/f.u.
Space-group type: F-43m
Energy: -19.888 eV for the cell shown



No. 19
Computed, not measured: a relaxed LaTc2Sb crystal at the PBE level of DFT.

Geometry as POSCAR:
```
LaTc2Sb
1.0
3.2220 0.0000 0.0000
0.0000 3.2220 0.0000
0.0000 0.0000 7.9742
La Tc Sb
1 2 1
Cartesian
0.0000 0.0000 0.0000
0.0000 0.0000 4.4285
1.6110 1.6110 5.8448
1.6110 1.6110 2.7349
```

Properties
Raw formation energy: -0.1 eV/f.u.
Space-group type: P4mm
Energy: -29.881 eV for the cell shown



No. 20
Computed, not measured: a relaxed LaTc2Sb crystal at the PBE level of DFT.

Geometry as POSCAR:
```
LaTc2Sb
1.0
3.2252 -4.4927 0.0000
3.2252 4.4927 0.0000
-1.5154 0.0000 2.7707
La Tc Sb
1 2 1
Cartesian
0.0000 0.0000 0.0000
0.8549 2.2464 1.3854
0.8549 -2.2464 1.3854
3.2252 0.0000 0.0000
```

Properties
Raw formation energy: 1.3 eV/f.u.
Space-group type: C2/m
Energy: -28.461 eV for the cell shown